# DyZnGa

A geometry-optimized DyZnGa structure (PBE, OQMD via LeMat-Bulk).

Size of the total moment ... 0.0084 μB/atom
Crystal system ... orthorhombic
Total DFT energy (no corrections) ... -0.2594 Ry/atom
Calculated volume ... 239.5 Å³ per cell

Cell and atoms, written as extended XYZ:
```
12
Lattice="7.1564 0.0000 0.0000 0.0000 4.4038 0.0000 0.0000 0.0000 7.6007" Properties=species:S:1:pos:R:3 pbc="T T T"
Dy 0.0029 1.1009 1.6530
Dy 7.1534 3.3028 5.9477
Dy 3.5811 1.1009 2.1474
Dy 3.5752 3.3028 5.4533
Zn 1.4031 1.1009 4.4224
Zn 2.1750 3.3028 0.6221
Zn 4.9813 1.1009 6.9786
Zn 5.7532 3.3028 3.1782
Ga 1.5474 3.3028 3.1194
Ga 2.0308 1.1009 6.9198
Ga 5.1256 3.3028 0.6809
Ga 5.6090 1.1009 4.4812
```